Computed, not measured: Pm2AlGePb after structural relaxation at the PBE level of DFT.

a = 6.5670 Å, b = 4.4633 Å, c = 8.9310 Å
α = 90.00°, β = 91.38°, γ = 90.00°
Space group P2_1/m (No. 11)
Symmetry-distinct sites (fractional):
Pm: 0.2288 0.2500 0.4639 x2
Pm: 0.2464 0.2500 0.0293 x2
Al: 0.4469 0.7500 0.2541 x2
Ge: 0.0687 0.7500 0.2414 x2
Pb: 0.2774 0.7500 0.7426 x2

Summary:
calculated density	7.57	g/cm³
raw total energy	-4.846	eV per atom
energy of formation from the pure elements	-2.66	eV per formula unit
spin magnetization	0.00	μB per cell

***

Computed, not measured: Pr2AlGePb after structural relaxation at the PBE level of DFT.

a = 7.2666 Å, b = 4.4306 Å, c = 9.2297 Å
α = 90.00°, β = 104.00°, γ = 90.00°
Space group P2_1/m (No. 11)
Symmetry-distinct sites (fractional):
Pr: 0.2105 0.2500 0.4126 x2
Pr: 0.2563 0.2500 0.9892 x2
Al: 0.4738 0.7500 0.2651 x2
Ge: 0.1344 0.7500 0.1785 x2
Pb: 0.2855 0.7500 0.7031 x2

Summary:
calculated density	6.78	g/cm³
raw total energy	-4.844	eV per atom
energy of formation from the pure elements	-2.59	eV per formula unit
spin magnetization	0.00	μB per cell

***

Computed, not measured: AlGeRu2Pb after structural relaxation at the PBE level of DFT.

a = 5.0161 Å, b = 5.0161 Å, c = 5.1014 Å
α = 90.00°, β = 90.00°, γ = 90.00°
Space group P4/mmm (No. 123)
Symmetry-distinct sites (fractional):
Al: 0.0000 0.0000 0.0000 x1
Ge: 0.5000 0.5000 0.0000 x1
Ru: 0.0000 0.5000 0.5000 x2
Pb: 0.5000 0.5000 0.5000 x1

Summary:
calculated density	6.58	g/cm³
raw total energy	-4.292	eV per atom
energy of formation from the pure elements	9.16	eV per formula unit
spin magnetization	0.00	μB per cell